Entry 1:
Below is Ca4Pt5 after structural relaxation, with properties calculated at the PBE-GGA level.

Cell lengths 6.9874, 6.9874, 6.9874 Å; angles 95.26, 95.26, 144.77 degrees
Closest atoms and distances in Å follow each position.
Element x y z (fractional)
Ca 0.0000 0.2908 0.2908  5 Pt 2.74-2.88
Ca 0.0000 0.7092 0.7092  5 Pt 2.74-2.88
Ca 0.2908 0.0000 0.2908  5 Pt 2.74-2.88
Ca 0.7092 0.0000 0.7092  5 Pt 2.74-2.88
Pt 0.0000 0.0000 0.0000  4 Ca 2.74, 8 Pt 3.05
Pt 0.3351 0.3351 0.6703  6 Ca 2.88-3.18, 6 Pt 3.05-3.11
Pt 0.3351 0.6649 0.0000  6 Ca 2.88-3.18, 6 Pt 3.05-3.11
Pt 0.6649 0.3351 0.0000  6 Ca 2.88-3.18, 6 Pt 3.05-3.11
Pt 0.6649 0.6649 0.3297  6 Ca 2.88-3.18, 6 Pt 3.05-3.11

## Properties
E   -4.88 eV per atom
Excess energy over the best structure of this formula in the dataset   0 meV per atom
DFT formation energy   -0.6338 eV per atom

Entry 2:
Below is Cd2HgTe after structural relaxation, with properties calculated at the PBE-GGA level.

Cell lengths 3.3870, 3.3870, 9.1841 Å; angles 90.00, 90.00, 90.00 degrees
Closest atoms and distances in Å follow each position.
Element x y z (fractional)
Te 0.5000 0.5000 0.7684  4 Cd 3.33, 4 Te 3.39, 4 Hg 3.62
Hg 0.0000 0.0000 0.4730  4 Cd 3.22, 4 Hg 3.39
Cd 0.0000 0.0000 0.0200  8 Cd 3.13-3.39, 4 Te 3.33
Cd 0.5000 0.5000 0.2386  8 Cd 3.13-3.39, 4 Hg 3.22

## Properties
Formation energy without anion corrections   0.07 eV per atom
E   -1.25 eV per atom
Excess energy over the best structure of this formula in the dataset   186 meV per atom

Entry 3:
Below is Pr5PtRh2 after structural relaxation, with properties calculated at the PBE-GGA level.

Cell lengths 7.7414, 7.7414, 8.9643 Å; angles 115.58, 115.58, 90.00 degrees
Closest atoms and distances in Å follow each position.
Element x y z (fractional)
Pr 0.5293 0.6879 0.7172  3 Rh 2.96-3.09, 2 Pt 3.26
Pr 0.8121 0.9707 0.2828  3 Rh 2.96-3.09, 2 Pt 3.26
Pr 0.0000 0.0000 0.0000  4 Rh 3.03
Pr 0.5000 0.5000 0.0000  4 Rh 3.03
Pr 0.1879 0.0293 0.7172  3 Rh 2.96-3.09, 2 Pt 3.26
Pr 0.6879 0.1879 0.7172  3 Rh 2.96-3.09, 2 Pt 3.26
Pr 0.0293 0.5293 0.7172  3 Rh 2.96-3.09, 2 Pt 3.26
Pr 0.3121 0.8121 0.2828  3 Rh 2.96-3.09, 2 Pt 3.26
Pr 0.9707 0.4707 0.2828  3 Rh 2.96-3.09, 2 Pt 3.26
Pr 0.4707 0.3121 0.2828  3 Rh 2.96-3.09, 2 Pt 3.26
Pt 0.7500 0.7500 0.5000  10 Pr 3.26-3.55
Pt 0.2500 0.2500 0.5000  10 Pr 3.26-3.55
Rh 0.1306 0.3694 0.0000  1 Rh 2.86, 8 Pr 2.96-3.09
Rh 0.6306 0.1306 0.0000  1 Rh 2.86, 8 Pr 2.96-3.09
Rh 0.3694 0.8694 0.0000  1 Rh 2.86, 8 Pr 2.96-3.09
Rh 0.8694 0.6306 0.0000  1 Rh 2.86, 8 Pr 2.96-3.09

## Properties
E   -6.22 eV per atom
DFT formation energy   -0.6379 eV per atom

Entry 4:
Below is Na2VBr5 after structural relaxation, with properties calculated at the PBE-GGA level.

Cell lengths 5.3663, 7.4111, 7.5530 Å; angles 82.61, 69.19, 68.77 degrees
Closest atoms and distances in Å follow each position.
Element x y z (fractional)
Na 0.8068 0.5000 0.8863  3 Br 2.73-3.03
Na 0.1932 0.5000 0.1137  3 Br 2.73-3.03
V 0.5000 0.5000 0.5000  6 Br 2.54-2.68
Br 0.2433 0.7511 0.7624  1 V 2.54
Br 0.5057 0.7511 0.2376  1 V 2.54
Br 0.0000 0.5000 0.5000  2 V 2.68, 2 Na 2.73
Br 0.7567 0.2489 0.2376  1 V 2.54
Br 0.4943 0.2489 0.7624  1 V 2.54

## Properties
Formation energy without anion corrections   -1.06 eV per atom
E   -3.57 eV per atom
Excess energy over the best structure of this formula in the dataset   59 meV per atom

Entry 5:
Below is Mg4Sb2H after structural relaxation, with properties calculated at the PBE-GGA level.

Cell lengths 6.0917, 8.5411, 11.1010 Å; angles 90.00, 90.00, 90.00 degrees
Closest atoms and distances in Å follow each position.
Element x y z (fractional)
Mg 0.4999 0.6650 0.8427  1 H 1.98
Mg 0.5001 0.3350 0.1573  1 H 1.98
Mg 0.5001 0.8350 0.3427  1 H 1.98
Mg 0.9999 0.3350 0.1573  1 H 1.98
Mg 0.4999 0.1650 0.6573  1 H 1.98
Mg 0.0001 0.6650 0.8427  1 H 1.98
Mg 0.0001 0.1650 0.6573  1 H 1.98
Mg 0.9999 0.8350 0.3427  1 H 1.98
Mg 0.7500 0.0118 0.8908  1 H 2.04
Mg 0.2500 0.9882 0.1092  1 H 2.04
Mg 0.2500 0.4882 0.3908  1 H 2.04
Mg 0.7500 0.5118 0.6092  1 H 2.04
Mg 0.7500 0.1757 0.4062  1 H 2.13
Mg 0.2500 0.8243 0.5938  1 H 2.13
Mg 0.2500 0.3243 0.9062  1 H 2.13
Mg 0.7500 0.6757 0.0938  1 H 2.13
Sb 0.7500 0.5195 0.3411  9 Mg 2.98-3.11
Sb 0.2500 0.4805 0.6589  9 Mg 2.98-3.11
Sb 0.2500 0.9805 0.8411  9 Mg 2.98-3.11
Sb 0.7500 0.0195 0.1589  9 Mg 2.98-3.11
Sb 0.7500 0.8656 0.5824  8 Mg 3.04-3.29
Sb 0.2500 0.1344 0.4176  8 Mg 3.04-3.29
Sb 0.2500 0.6344 0.0824  8 Mg 3.04-3.29
Sb 0.7500 0.3656 0.9176  8 Mg 3.04-3.29
H 0.7500 0.7755 0.9183  4 Mg 1.98-2.13
H 0.2500 0.2245 0.0817  4 Mg 1.98-2.13
H 0.2500 0.7245 0.4183  4 Mg 1.98-2.13
H 0.7500 0.2755 0.5817  4 Mg 1.98-2.13

## Properties
E   -2.81 eV per atom
Excess energy over the best structure of this formula in the dataset   16 meV per atom

Entry 6:
Below is Cs3TeI after structural relaxation, with properties calculated at the PBE-GGA level.

Cell lengths 7.2863, 7.2863, 7.2863 Å; angles 90.00, 90.00, 90.00 degrees
Closest atoms and distances in Å follow each position.
Element x y z (fractional)
Cs 0.0000 0.5000 0.0000  2 Te 3.64
Cs 0.0000 0.0000 0.5000  2 Te 3.64
Cs 0.5000 0.0000 0.0000  2 Te 3.64
I 0.5000 0.5000 0.5000  12 Cs 5.15
Te 0.0000 0.0000 0.0000  6 Cs 3.64

## Properties
Formation energy without anion corrections   -1.07 eV per atom
E   -2.52 eV per atom
Excess energy over the best structure of this formula in the dataset   107 meV per atom

Entry 7:
Below is Y2NiPd2 after structural relaxation, with properties calculated at the PBE-GGA level.

Cell lengths 7.3201, 7.3201, 3.8424 Å; angles 90.00, 90.00, 90.00 degrees
Closest atoms and distances in Å follow each position.
Element x y z (fractional)
Y 0.1748 0.6748 0.5000  6 Pd 2.77-2.98
Y 0.6748 0.8252 0.5000  6 Pd 2.77-2.98
Y 0.8252 0.3252 0.5000  6 Pd 2.77-2.98
Y 0.3252 0.1748 0.5000  6 Pd 2.77-2.98
Ni 0.0000 0.0000 0.0000  4 Pd 2.86
Ni 0.5000 0.5000 0.0000  4 Pd 2.86
Pd 0.3671 0.8671 0.0000  1 Pd 2.75, 6 Y 2.77-2.98, 2 Ni 2.86
Pd 0.8671 0.6329 0.0000  1 Pd 2.75, 6 Y 2.77-2.98, 2 Ni 2.86
Pd 0.6329 0.1329 0.0000  1 Pd 2.75, 6 Y 2.77-2.98, 2 Ni 2.86
Pd 0.1329 0.3671 0.0000  1 Pd 2.75, 6 Y 2.77-2.98, 2 Ni 2.86

## Properties
E   -6.41 eV per atom
DFT formation energy   -0.5916 eV per atom

Entry 8:
Below is ZnCd2Se after structural relaxation, with properties calculated at the PBE-GGA level.

Cell lengths 7.5080, 7.5080, 6.2924 Å; angles 53.37, 53.37, 90.00 degrees
Closest atoms and distances in Å follow each position.
Element x y z (fractional)
Zn 0.5000 0.5000 0.0000  4 Cd 2.81
Zn 0.2500 0.7500 0.5000  4 Cd 2.81
Se 0.0000 0.0000 0.0000  4 Cd 2.77
Se 0.7500 0.2500 0.5000  4 Cd 2.77
Cd 0.6290 0.1250 0.2500  2 Se 2.77, 2 Zn 2.81
Cd 0.1210 0.6250 0.2500  2 Se 2.77, 2 Zn 2.81
Cd 0.3750 0.3710 0.7500  2 Se 2.77, 2 Zn 2.81
Cd 0.8750 0.8790 0.7500  2 Se 2.77, 2 Zn 2.81

## Properties
Formation energy without anion corrections   -0.03 eV per atom
E   -1.67 eV per atom
Excess energy over the best structure of this formula in the dataset   111 meV per atom

Entry 9:
Below is Mg10TiSnB4O20 after structural relaxation, with properties calculated at the PBE-GGA level.

Cell lengths 6.1450, 9.8860, 12.8423 Å; angles 85.54, 76.17, 71.90 degrees
Closest atoms and distances in Å follow each position.
Element x y z (fractional)
Mg 0.8938 0.9991 0.7171  6 O 1.98-2.22
Mg 0.1062 0.0009 0.2829  6 O 1.98-2.22
Mg 0.7534 0.9944 0.4992  6 O 2.09-2.15
Mg 0.2466 0.0056 0.5008  6 O 2.09-2.15
Mg 0.7589 0.0000 0.0000  6 O 2.03-2.19
Mg 0.2411 0.0000 0.0000  6 O 2.03-2.19
Mg 0.7513 0.5000 0.5000  6 O 2.06-2.18
Mg 0.2487 0.5000 0.5000  6 O 2.06-2.18
Mg 0.6064 0.4952 0.7808  6 O 2.00-2.18
Mg 0.3936 0.5048 0.2192  6 O 2.00-2.18
Mg 0.7575 0.4875 0.9974  6 O 2.09-2.19
Mg 0.2425 0.5125 0.0026  6 O 2.09-2.19
Mg 0.3894 0.9991 0.7171  6 O 1.98-2.21
Mg 0.6106 0.0009 0.2829  6 O 1.98-2.21
Mg 0.8836 0.5049 0.2192  6 O 2.00-2.18
Mg 0.1164 0.4951 0.7808  6 O 2.00-2.18
Mg 0.1783 0.7633 0.8793  6 O 2.03-2.22
Mg 0.8217 0.2367 0.1207  6 O 2.03-2.22
Mg 0.9402 0.7381 0.3824  6 O 2.06-2.18
Mg 0.0598 0.2619 0.6176  6 O 2.06-2.18
Ti 0.4375 0.7394 0.3863  6 O 1.90-2.09
Ti 0.5625 0.2606 0.6137  6 O 1.90-2.09
Sn 0.6778 0.7599 0.8840  6 O 2.02-2.19
Sn 0.3222 0.2401 0.1160  6 O 2.02-2.19
B 0.4550 0.2300 0.8594  3 O 1.38-1.40
B 0.5450 0.7700 0.1406  3 O 1.38-1.40
B 0.8203 0.7224 0.6366  3 O 1.38-1.42
B 0.1797 0.2776 0.3634  3 O 1.38-1.42
B 0.9609 0.2206 0.8571  3 O 1.39-1.40
B 0.0391 0.7794 0.1429  3 O 1.39-1.40
B 0.3159 0.7277 0.6399  3 O 1.39-1.42
B 0.6841 0.2723 0.3601  3 O 1.39-1.42
O 0.4896 0.6123 0.9216  4 Mg 2.08-2.19, 1 Sn 2.09
O 0.5104 0.3877 0.0784  4 Mg 2.08-2.19, 1 Sn 2.09
O 0.9532 0.8557 0.2385  1 B 1.39
O 0.0468 0.1443 0.7615  1 B 1.39
O 0.2409 0.8755 0.6422  1 B 1.39
O 0.7591 0.1245 0.3578  1 B 1.39
O 0.9480 0.1492 0.9552  1 B 1.39
O 0.0520 0.8508 0.0448  1 B 1.39
O 0.8690 0.8981 0.8566  3 Mg 1.98-2.03, 1 Sn 2.02
O 0.1310 0.1019 0.1434  3 Mg 1.98-2.03, 1 Sn 2.02
O 0.4026 0.6539 0.5412  1 B 1.42
O 0.5974 0.3461 0.4588  1 B 1.42
O 0.5826 0.8828 0.4239  1 Ti 2.03, 4 Mg 2.08-2.18
O 0.4174 0.1172 0.5761  1 Ti 2.03, 4 Mg 2.08-2.18
O 0.4595 0.8435 0.2383  1 B 1.40
O 0.5405 0.1565 0.7617  1 B 1.40
O 0.3082 0.6486 0.7339  1 B 1.39
O 0.6918 0.3514 0.2661  1 B 1.39
O 0.7443 0.8693 0.6417  1 B 1.38
O 0.2557 0.1307 0.3583  1 B 1.38
O 0.3811 0.3765 0.8603  1 B 1.38
O 0.6189 0.6235 0.1397  1 B 1.38
O 0.7474 0.6111 0.3577  1 Ti 1.90, 3 Mg 2.00-2.06
O 0.2526 0.3889 0.6423  1 Ti 1.90, 3 Mg 2.00-2.06
O 0.7156 0.3890 0.6423  1 Ti 1.90, 3 Mg 2.00-2.06
O 0.2844 0.6110 0.3577  1 Ti 1.90, 3 Mg 2.00-2.06
O 0.8889 0.1173 0.5762  1 Ti 2.03, 4 Mg 2.08-2.18
O 0.1111 0.8827 0.4238  1 Ti 2.03, 4 Mg 2.08-2.18
O 0.9062 0.6460 0.5418  1 B 1.38
O 0.0938 0.3540 0.4582  1 B 1.38
O 0.4485 0.1490 0.9542  1 B 1.40
O 0.5515 0.8510 0.0458  1 B 1.40
O 0.3759 0.8980 0.8566  3 Mg 1.98-2.03, 1 Sn 2.02
O 0.6241 0.1020 0.1434  3 Mg 1.98-2.03, 1 Sn 2.02
O 0.8886 0.3691 0.8528  1 B 1.40
O 0.1114 0.6309 0.1472  1 B 1.40
O 0.9761 0.6123 0.9216  4 Mg 2.08-2.18, 1 Sn 2.09
O 0.0239 0.3877 0.0784  4 Mg 2.08-2.18, 1 Sn 2.09
O 0.8108 0.6438 0.7336  1 B 1.42
O 0.1892 0.3562 0.2664  1 B 1.42

## Properties
Formation energy without anion corrections   -2.64 eV per atom
E   -6.91 eV per atom

Entry 10:
Below is Cu2OsSe after structural relaxation, with properties calculated at the PBE-GGA level.

Cell lengths 4.3840, 2.8106, 4.6800 Å; angles 89.97, 90.00, 90.00 degrees
Closest atoms and distances in Å follow each position.
Element x y z (fractional)
Cu 0.0000 0.1243 0.9969  4 Cu 2.56-2.81, 4 Os 2.67-2.78, 2 Se 2.87
Cu 0.5000 0.1256 0.2798  4 Cu 2.56-2.81, 2 Se 2.57, 4 Os 2.77
Os 0.0000 0.6250 0.4835  2 Se 2.50, 8 Cu 2.67-2.78
Se 0.5000 0.6251 0.7398  2 Os 2.50, 2 Cu 2.57

## Properties
Formation energy without anion corrections   0.45 eV per atom
E   -5.27 eV per atom

Entry 11:
Below is InPPbO2 after structural relaxation, with properties calculated at the PBE-GGA level.

Cell lengths 4.1956, 4.1956, 5.5631 Å; angles 90.00, 90.00, 90.00 degrees
Closest atoms and distances in Å follow each position.
Element x y z (fractional)
Pb 0.0000 0.0000 0.0000  4 O 2.10
P 0.0000 0.0000 0.5000  2 Pb 2.78, 4 In 2.97
O 0.0000 0.5000 0.0000  2 Pb 2.10
O 0.5000 0.0000 0.0000  2 Pb 2.10
In 0.5000 0.5000 0.5000  4 P 2.97

## Properties
Formation energy without anion corrections   -0.02 eV per atom
E   -4.37 eV per atom
Excess energy over the best structure of this formula in the dataset   193 meV per atom

Entry 12:
Below is Mg3BiN after structural relaxation, with properties calculated at the PBE-GGA level.

Cell lengths 5.5758, 3.3185, 10.9448 Å; angles 81.19, 96.03, 90.01 degrees
Closest atoms and distances in Å follow each position.
Element x y z (fractional)
Mg 0.1929 0.6359 0.0766  5 Bi 3.03-3.29, 2 Mg 3.32
Mg 0.7964 0.7786 0.7909  3 N 2.11-2.16
Mg 0.0947 0.8748 0.6010  3 N 2.11-2.16
Mg 0.5894 0.3754 0.5996  3 N 2.14-2.16
Mg 0.6980 0.0228 0.3154  5 Bi 3.03-3.29, 2 Mg 3.32
Mg 0.3016 0.2779 0.7924  3 N 2.14-2.16
Bi 0.2094 0.4979 0.3579  8 Mg 3.03-3.29, 2 Bi 3.32
Bi 0.6819 0.1569 0.0341  8 Mg 3.03-3.29, 2 Bi 3.32
N 0.9455 0.3267 0.6960  6 Mg 2.14-2.16
N 0.4455 0.8267 0.6960  6 Mg 2.11-2.16

## Properties
Formation energy without anion corrections   -0.42 eV per atom
E   -3.82 eV per atom